HfCdNi after structural relaxation, computed with GGA-PBE.

a b c (Å): 6.2954 6.2954 6.2954
angles (deg): 90.00 90.00 90.00
Closest atoms and distances in Å follow each position.
Space group F-43m (No. 216)
One atom of each set of equivalent atoms:
Hf (0.0000, 0.0000, 0.0000)  4 Cd 2.73, 4 Ni 2.73
Cd (0.2500, 0.2500, 0.7500)  4 Hf 2.73
Ni (0.2500, 0.2500, 0.2500)  4 Hf 2.73

Properties
Calculated volume, A^3/atom: 20.79
Formation enthalpy at 0 K, eV/atom: 0.53
Calculated total energy, eV/atom: -4.940

=====

RbPrPt after structural relaxation, computed with GGA-PBE.

a b c (Å): 7.3205 7.3205 7.3205
angles (deg): 90.00 90.00 90.00
Closest atoms and distances in Å follow each position.
Space group F-43m (No. 216)
One atom of each set of equivalent atoms:
Rb (0.0000, 0.0000, 0.0000)  4 Pt 3.17
Pr (0.0000, 0.0000, 0.5000)  4 Pt 3.17
Pt (0.2500, 0.2500, 0.7500)  4 Rb 3.17, 4 Pr 3.17

Properties
Calculated volume, A^3/atom: 32.69
Calculated total energy, eV/atom: -4.019

=====

Hf2CuPb2 after structural relaxation, computed with GGA-PBE.

a b c (Å): 4.3360 4.3360 13.8402
angles (deg): 90.00 90.00 90.00
Closest atoms and distances in Å follow each position.
Space group I4/mmm (No. 139)
One atom of each set of equivalent atoms:
Hf (0.0000, 0.5000, 0.2500)  4 Pb 2.99, 4 Hf 3.07
Cu (0.0000, 0.0000, 0.0000)  8 Pb 3.37
Pb (0.0000, 0.0000, 0.3984)  1 Pb 2.81, 4 Hf 2.99

Properties
Calculated volume, A^3/atom: 26.02
Calculated total energy, eV/atom: -5.449

=====

Lu2Cu after structural relaxation, computed with GGA-PBE.

a b c (Å): 11.7036 11.7036 11.7036
angles (deg): 90.00 90.00 90.00
Closest atoms and distances in Å follow each position.
Space group Fd-3m (No. 227, origin choice 2)
One atom of each set of equivalent atoms:
Lu (0.0000, 0.0000, 0.0000)  2 Cu 2.53
Cu (0.1250, 0.1250, 0.1250)  4 Lu 2.53

Properties
Calculated volume, A^3/atom: 66.79
Formation enthalpy at 0 K, eV/atom: 1.33
Calculated total energy, eV/atom: -2.927

=====

SrPaZn after structural relaxation, computed with GGA-PBE.

a b c (Å): 7.2109 7.2109 7.2109
angles (deg): 90.00 90.00 90.00
Closest atoms and distances in Å follow each position.
Space group F-43m (No. 216)
One atom of each set of equivalent atoms:
Sr (0.0000, 0.0000, 0.0000)  4 Zn 3.12
Pa (0.0000, 0.0000, 0.5000)  4 Zn 3.12
Zn (0.2500, 0.2500, 0.7500)  4 Sr 3.12, 4 Pa 3.12

Properties
Calculated volume, A^3/atom: 31.25
Calculated total energy, eV/atom: -3.393

=====

HfTlCuNi after structural relaxation, computed with GGA-PBE.

a b c (Å): 6.3764 6.3764 6.3764
angles (deg): 90.00 90.00 90.00
Closest atoms and distances in Å follow each position.
Space group F-43m (No. 216)
One atom of each set of equivalent atoms:
Hf (0.0000, 0.0000, 0.0000)  4 Ni 2.76, 4 Cu 2.76
Tl (0.0000, 0.0000, 0.5000)  4 Ni 2.76, 4 Cu 2.76
Cu (0.2500, 0.2500, 0.7500)  4 Hf 2.76, 4 Tl 2.76
Ni (0.2500, 0.2500, 0.2500)  4 Tl 2.76, 4 Hf 2.76

Properties
E above lowest polymorph, eV per atom: 0.000
Calculated volume, A^3/atom: 16.20
Calculated total energy, eV/atom: -5.488